# KNpPdO5 PBE optimized geometry
data_KNpPdO5
_chemical_formula_sum 'K4 Np4 Pd4 O20'
_space_group_name_H-M_alt 'C 1 2/c 1'
_space_group_IT_number 15
_cell_length_a 6.247
_cell_length_b 10.245
_cell_length_c 8.119
_cell_angle_alpha 90.00
_cell_angle_beta 107.72
_cell_angle_gamma 90.00
loop_
_space_group_symop_operation_xyz
'x,y,z'
'-x,-y,-z'
'-x,y,-z+1/2'
'x,-y,z+1/2'
'x+1/2,y+1/2,z'
'-x+1/2,-y+1/2,-z'
'-x+1/2,y+1/2,-z+1/2'
'x+1/2,-y+1/2,z+1/2'
loop_
_atom_site_label
_atom_site_type_symbol
_atom_site_fract_x
_atom_site_fract_y
_atom_site_fract_z
K1 K 0.000 0.184 0.250
Np1 Np 0.000 0.500 0.000
Pd1 Pd 0.000 0.173 0.750
O1 O 0.000 0.441 0.250
O2 O 0.019 0.312 0.574
O3 O 0.170 0.030 0.921
# * crystal system: monoclinic
# * uncorrected formation energy: -171.0 kJ/mol of atoms
# * calculated total energy: -7.28 eV/atom